Record 1
# BaAc2P

BaAc2P after structural relaxation (PBE, Alexandria).

Computed properties:
E_form ... -633 meV per atom
Polymorph energy (0 for the lowest one) ... 6.8 meV/atom
Crystal system ... trigonal

Geometry as POSCAR:
```
BaAc2P
1.0
2.145 1.238 11.116
-2.145 1.238 11.116
0.000 -2.477 11.116
Ba Ac P
1 2 1
Direct
0.000 0.000 0.000 Ba
0.220 0.220 0.220 Ac
0.780 0.780 0.780 Ac
0.500 0.500 0.500 P
```

***

Record 2
# Na3Th2TlS6

Na3Th2TlS6 after structural relaxation (PBE, Alexandria).

Computed properties:
Crystal system ... monoclinic
Formation energy (no corrections) ... -1.48 eV/atom

Geometry as POSCAR:
```
Na3Th2TlS6
1.0
8.888 -2.100 0.000
8.888 2.100 0.000
-1.511 0.000 8.417
Na Th Tl S
3 2 1 6
Direct
0.000 0.000 0.000 Na
0.346 0.346 0.669 Na
0.654 0.654 0.331 Na
0.337 0.337 0.170 Th
0.663 0.663 0.830 Th
0.000 0.000 0.500 Tl
0.173 0.173 0.062 S
0.180 0.180 0.623 S
0.488 0.488 0.223 S
0.512 0.512 0.777 S
0.820 0.820 0.377 S
0.827 0.827 0.938 S
```

***

Number 1: calculated volume 44.29 Å³/atom. Number 2: calculated volume 26.19 Å³/atom.